VASP calculation (GGA-PBE) on crystalline Os3Pt at its relaxed geometry.

calculated formation energy = 59 kJ/mol of formula units
uncorrected energy = -9.780 eV/atom
symmetry = C2/m (12)
magnetic moment = 0.0 μB/f.u.

Unit cell a=4.756 b=4.756 c=4.761 alpha=99.28 beta=99.28 gamma=33.41
Atoms (fractional coordinates):
Os (0.000, 0.000, 0.000)
Os (0.254, 0.254, 0.761)
Os (0.746, 0.746, 0.239)
Pt (0.500, 0.500, 0.500)